6
Lattice="-5.203 -2.141 0.298 1.974 -4.391 2.928 1.149 4.752 0.929" Properties=species:S:1:pos:R:3 comment="LiFeF4 | Alexandria | PBE with a Hubbard U | relaxed" crystal_system=tetragonal e_above_lowest_polymorph_mev_per_atom=134 n_ef_per_ev_atom=0.0000 final_energy_ev_per_atom=-5.02 rho_g_cm3=2.43 pbc="T T T"
F -1.152 -0.209 2.294
F 0.517 2.234 1.172
F -0.442 -3.417 3.029
Li -2.835 -0.328 1.420
Fe -1.615 -3.266 1.613
F -3.084 -2.169 1.815